[1]
{"formula": "PmW2", "functional": "PBE-GGA", "state": "optimized geometry", "cell": [[0.000, 6.743, 6.743], [6.743, 0.000, 6.743], [6.743, 6.743, 0.000]], "species": ["Pm", "Pm", "W", "W", "W", "W"], "frac_coords": [[0.125, 0.125, 0.125], [0.875, 0.875, 0.875], [0.000, 0.000, 0.000], [0.000, 0.000, 0.500], [0.000, 0.500, 0.000], [0.500, 0.000, 0.000]], "volume_a3_per_atom": 102.22, "e_above_lowest_polymorph_mev_per_atom": 4556.8, "formation_energy_ev_per_fu": 14.5, "crystal_system": "cubic"}

[2]
{"formula": "PmW2", "functional": "PBE-GGA", "state": "optimized geometry", "cell": [[0.000, 3.958, 3.958], [3.958, 0.000, 3.958], [3.958, 3.958, 0.000]], "species": ["Pm", "Pm", "W", "W", "W", "W"], "frac_coords": [[0.125, 0.125, 0.125], [0.875, 0.875, 0.875], [0.000, 0.500, 0.500], [0.500, 0.000, 0.500], [0.500, 0.500, 0.000], [0.500, 0.500, 0.500]], "volume_a3_per_atom": 20.67, "e_above_lowest_polymorph_mev_per_atom": 0.0, "formation_energy_ev_per_fu": 0.9, "crystal_system": "cubic"}

[3]
{"formula": "PmW2", "functional": "PBE-GGA", "state": "optimized geometry", "cell": [[0.000, 3.240, 3.240], [3.240, 0.000, 3.240], [3.240, 3.240, 0.000]], "species": ["Pm", "W", "W"], "frac_coords": [[0.000, 0.000, 0.000], [0.250, 0.250, 0.250], [0.750, 0.750, 0.750]], "volume_a3_per_atom": 22.67, "e_above_lowest_polymorph_mev_per_atom": 2025.0, "formation_energy_ev_per_fu": 6.9, "crystal_system": "cubic"}

[4]
{"formula": "Pm2W", "functional": "PBE-GGA", "state": "optimized geometry", "cell": [[0.000, 3.499, 3.499], [3.499, 0.000, 3.499], [3.499, 3.499, 0.000]], "species": ["Pm", "Pm", "W"], "frac_coords": [[0.250, 0.250, 0.250], [0.750, 0.750, 0.750], [0.000, 0.000, 0.000]], "volume_a3_per_atom": 28.55, "e_above_lowest_polymorph_mev_per_atom": 0.0, "formation_energy_ev_per_fu": 2.5, "crystal_system": "cubic"}

[5]
{"formula": "PmW", "functional": "PBE-GGA", "state": "optimized geometry", "cell": [[2.995, 0.000, 0.000], [-1.498, 2.594, 0.000], [0.000, 0.000, 5.593]], "species": ["Pm", "W"], "frac_coords": [[0.000, 0.000, 0.000], [0.667, 0.333, 0.500]], "volume_a3_per_atom": 21.73, "e_above_lowest_polymorph_mev_per_atom": 0.0, "formation_energy_ev_per_fu": 2.0, "crystal_system": "hexagonal"}

[6]
{"formula": "PmW", "functional": "PBE-GGA", "state": "optimized geometry", "cell": [[0.000, 3.300, 3.300], [3.300, 0.000, 3.300], [3.300, 3.300, 0.000]], "species": ["Pm", "W"], "frac_coords": [[0.000, 0.000, 0.000], [0.750, 0.750, 0.750]], "volume_a3_per_atom": 35.93, "e_above_lowest_polymorph_mev_per_atom": 1825.8, "formation_energy_ev_per_fu": 5.6, "crystal_system": "cubic"}

[7]
{"formula": "PmZnW", "functional": "PBE-GGA", "state": "optimized geometry", "cell": [[0.000, 3.228, 3.228], [3.228, 0.000, 3.228], [3.228, 3.228, 0.000]], "species": ["Pm", "Zn", "W"], "frac_coords": [[0.000, 0.000, 0.000], [0.250, 0.250, 0.250], [0.500, 0.500, 0.500]], "volume_a3_per_atom": 22.42, "e_above_lowest_polymorph_mev_per_atom": 0.0, "formation_energy_ev_per_fu": 2.6, "crystal_system": "cubic"}

[8]
{"formula": "PmZnW", "functional": "PBE-GGA", "state": "optimized geometry", "cell": [[0.000, 3.397, 3.397], [3.397, 0.000, 3.397], [3.397, 3.397, 0.000]], "species": ["Pm", "Zn", "W"], "frac_coords": [[0.000, 0.000, 0.000], [0.250, 0.250, 0.250], [0.750, 0.750, 0.750]], "volume_a3_per_atom": 26.13, "e_above_lowest_polymorph_mev_per_atom": 625.3, "formation_energy_ev_per_fu": 4.5, "crystal_system": "cubic"}

Which formula does entry 1 have? PmW2

Repeat the fourth record exactly.
{"formula": "Pm2W", "functional": "PBE-GGA", "state": "optimized geometry", "cell": [[0.000, 3.499, 3.499], [3.499, 0.000, 3.499], [3.499, 3.499, 0.000]], "species": ["Pm", "Pm", "W"], "frac_coords": [[0.250, 0.250, 0.250], [0.750, 0.750, 0.750], [0.000, 0.000, 0.000]], "volume_a3_per_atom": 28.55, "e_above_lowest_polymorph_mev_per_atom": 0.0, "formation_energy_ev_per_fu": 2.5, "crystal_system": "cubic"}